## GdYInCu (PBE)

Data for an optimized crystal structure of GdYInCu.

Calculated density = 7.15 Mg/m³
Raw total energy = -28.68 eV/cell
Fermi-level density of states = 3.2 states/eV/f.u.

a b c (Å): 5.186 5.186 5.186
angles (deg): 60.00 60.00 60.00
Last column: magnetic moment on the atom in μB.
Fractional positions:
Cu  0.000  0.000  0.000  0.03
Gd  0.250  0.250  0.250  7.16
In  0.500  0.500  0.500  0.00
Y  0.750  0.750  0.750  0.09

## ZnIn2OsAu (PBE)

Data for an optimized crystal structure of ZnIn2OsAu.

Calculated density = 8.83 Mg/m³
Raw total energy = -15.40 eV/cell
Fermi-level density of states = 6.4 states/eV/f.u.

a b c (Å): 5.187 4.769 5.187
angles (deg): 90.00 90.00 90.00
Last column: magnetic moment on the atom in μB.
Fractional positions:
Os  0.500  0.500  0.500  2.38
Au  0.000  0.000  0.000  0.01
Zn  0.000  0.500  0.000  0.02
In  0.500  0.000  0.000  -0.01
In  0.000  0.000  0.500  0.00

## Pr3SmHo (PBE)

Data for an optimized crystal structure of Pr3SmHo.

Calculated density = 6.76 Mg/m³
E above lowest polymorph = 0.1456 eV/atom
Fermi-level density of states = 4.0 states/eV/f.u.

a b c (Å): 8.200 8.200 6.253
angles (deg): 90.00 90.00 59.62
Fractional positions:
Pr  0.803  0.403  0.750
Pr  0.000  0.000  0.000
Sm  0.200  0.200  0.250
Pr  0.403  0.803  0.750
Pr  0.000  0.000  0.500
Ho  0.672  0.672  0.250
Ho  0.328  0.328  0.750
Sm  0.800  0.800  0.750
Pr  0.197  0.597  0.250
Pr  0.597  0.197  0.250

## AcTbF6 (PBE)

Data for an optimized crystal structure of AcTbF6.

Uncorrected formation energy = -390.9 kJ per mole of atoms
Calculated density = 7.28 Mg/m³
Fermi-level density of states = 0.0 states/eV/f.u.

a b c (Å): 4.019 5.334 5.334
angles (deg): 94.63 90.00 90.00
Fractional positions:
F  0.500  0.839  0.161
F  0.500  0.292  0.056
F  0.000  0.590  0.807
F  0.500  0.944  0.708
Ac  0.500  0.495  0.505
F  0.000  0.677  0.323
Tb  0.000  0.970  0.030
F  0.000  0.193  0.410

## KNbSi2S (PBE)

Data for an optimized crystal structure of KNbSi2S.

Uncorrected formation energy = 107.0 kJ per mole of atoms
Calculated density = 3.21 Mg/m³
Fermi-level density of states = 5.6 states/eV/f.u.

a b c (Å): 4.690 5.177 4.690
angles (deg): 90.00 90.00 90.00
Last column: magnetic moment on the atom in μB.
Fractional positions:
Nb  0.500  0.500  0.500  2.16
Si  0.000  0.000  0.500  -0.05
Si  0.500  0.000  0.000  -0.08
K  0.000  0.500  0.000  0.03
S  0.000  0.000  0.000  -0.03

## Li2PdAuO4 (PBE)

Data for an optimized crystal structure of Li2PdAuO4.

Uncorrected formation energy = -68.6 kJ per mole of atoms
Calculated density = 6.55 Mg/m³
Fermi-level density of states = 5.5 states/eV/f.u.

a b c (Å): 5.399 5.056 5.056
angles (deg): 81.96 57.73 57.73
Fractional positions:
Li  0.000  0.750  0.250
O  0.010  0.146  0.344
O  0.500  0.344  0.146
Pd  0.500  0.000  0.000
Li  0.000  0.250  0.750
O  0.990  0.656  0.854
Au  0.500  0.500  0.500
O  0.500  0.854  0.656

## HfMg3Cd2 (PBE)

Data for an optimized crystal structure of HfMg3Cd2.

Calculated density = 6.16 Mg/m³
Raw total energy = -16.76 eV/cell
Fermi-level density of states = 2.5 states/eV/f.u.

a b c (Å): 3.229 3.229 12.320
angles (deg): 90.00 90.00 90.00
Fractional positions:
Mg  0.000  0.000  0.673
Cd  0.500  0.500  0.837
Hf  0.500  0.500  0.500
Mg  0.000  0.000  0.000
Mg  0.000  0.000  0.327
Cd  0.500  0.500  0.163

## Ca2MgPt (PBE)

Data for an optimized crystal structure of Ca2MgPt.

Calculated density = 5.07 Mg/m³
Raw total energy = -13.35 eV/cell
Fermi-level density of states = 3.2 states/eV/f.u.

a b c (Å): 4.963 4.963 3.983
angles (deg): 90.00 90.00 90.00
Fractional positions:
Pt  0.000  0.500  0.500
Mg  0.500  0.000  0.500
Ca  0.000  0.000  0.000
Ca  0.500  0.500  0.000

## Tl6SbPb3 (PBE)

Data for an optimized crystal structure of Tl6SbPb3.

Uncorrected formation energy = 6.8 kJ per mole of atoms
Calculated density = 9.77 Mg/m³
E above lowest polymorph = 0.0380 eV/atom
Fermi-level density of states = 6.5 states/eV/f.u.

a b c (Å): 6.136 6.136 10.271
angles (deg): 90.00 90.00 120.00
Fractional positions:
Tl  0.360  0.000  0.784
Pb  0.333  0.667  0.500
Sb  0.000  0.000  0.000
Tl  0.640  0.640  0.784
Tl  0.000  0.640  0.216
Tl  0.360  0.360  0.216
Pb  0.000  0.000  0.500
Pb  0.667  0.333  0.500
Tl  0.000  0.360  0.784
Tl  0.640  0.000  0.216

## HoTmMgSc (PBE)

Data for an optimized crystal structure of HoTmMgSc.

Calculated density = 6.21 Mg/m³
E above lowest polymorph = 0.0389 eV/atom
Fermi-level density of states = 4.0 states/eV/f.u.

a b c (Å): 5.341 5.341 5.341
angles (deg): 60.00 60.00 60.00
Fractional positions:
Mg  0.500  0.500  0.500
Tm  0.750  0.750  0.750
Ho  0.250  0.250  0.250
Sc  0.000  0.000  0.000

## RbGaAg4 (PBE)

Data for an optimized crystal structure of RbGaAg4.

Calculated density = 6.66 Mg/m³
E above lowest polymorph = 0.0000 eV/atom
Fermi-level density of states = 1.9 states/eV/f.u.

a b c (Å): 7.056 5.945 7.617
angles (deg): 112.97 84.28 90.00
Fractional positions:
Rb  0.867  0.789  0.578
Ag  0.588  0.262  0.525
Ag  0.614  0.319  0.170
Rb  0.133  0.211  0.422
Ag  0.000  0.248  0.000
Ag  0.412  0.738  0.475
Ag  0.386  0.681  0.830
Ag  0.614  0.851  0.170
Ga  0.714  0.433  0.867
Ag  0.386  0.149  0.830
Ga  0.286  0.567  0.133
Ag  0.000  0.752  0.000

## CoPRh2 (PBE)

Data for an optimized crystal structure of CoPRh2.

Calculated density = 9.32 Mg/m³
Raw total energy = -27.89 eV/cell
Fermi-level density of states = 3.5 states/eV/f.u.

a b c (Å): 3.710 2.824 5.269
angles (deg): 72.72 90.00 90.00
Last column: magnetic moment on the atom in μB.
Fractional positions:
Rh  0.000  0.875  0.989  0.26
P  0.500  0.750  0.750  -0.03
Rh  0.000  0.625  0.511  0.26
Co  0.500  0.250  0.250  1.65